(i)
# CaRePt2 (meta-GGA SCAN, PBEsol geometry)
data_CaRePt2
_chemical_formula_sum 'Ca2 Re2 Pt4'
_cell_length_a 10.136
_cell_length_b 2.757
_cell_length_c 4.864
_cell_angle_alpha 90.00
_cell_angle_beta 104.21
_cell_angle_gamma 90.00
_space_group_name_H-M_alt 'C 1 m 1'
_space_group_IT_number 8
_space_group_name_Hall 'C -2y'
loop_
_atom_site_label
_atom_site_type_symbol
_atom_site_fract_x
_atom_site_fract_y
_atom_site_fract_z
Ca1 Ca 0.000 0.000 0.000
Re1 Re 0.211 0.000 0.614
Pt1 Pt 0.254 0.500 0.133
Pt2 Pt 0.475 0.000 0.500
# Calculated density ... 15.54 Mg/m³
# DOS(E_F) ... 0.550 states/eV/atom

=====

(ii)
# CaRePt2 (meta-GGA SCAN, PBEsol geometry)
data_CaRePt2
_chemical_formula_sum 'Ca4 Re4 Pt8'
_cell_length_a 6.465
_cell_length_b 6.465
_cell_length_c 6.465
_cell_angle_alpha 90.00
_cell_angle_beta 90.00
_cell_angle_gamma 90.00
_space_group_name_H-M_alt 'F m -3 m'
_space_group_IT_number 225
_space_group_name_Hall '-F 4 2 3'
loop_
_atom_site_label
_atom_site_type_symbol
_atom_site_fract_x
_atom_site_fract_y
_atom_site_fract_z
Ca1 Ca 0.000 0.000 0.000
Re1 Re 0.000 0.000 0.500
Pt1 Pt 0.250 0.250 0.250
# Calculated density ... 15.15 Mg/m³
# DOS(E_F) ... 1.019 states/eV/atom

=====

The structure with the most favorable energy is (i); the runner-up is 340 meV per atom above it.

=====

(i)
# SrCa2Pt (meta-GGA SCAN, PBEsol geometry)
data_SrCa2Pt
_chemical_formula_sum 'Sr2 Ca4 Pt2'
_cell_length_a 4.660
_cell_length_b 4.660
_cell_length_c 10.296
_cell_angle_alpha 90.00
_cell_angle_beta 90.00
_cell_angle_gamma 90.00
_space_group_name_H-M_alt 'I 4/m m m'
_space_group_IT_number 139
_space_group_name_Hall '-I 4 2'
loop_
_atom_site_label
_atom_site_type_symbol
_atom_site_fract_x
_atom_site_fract_y
_atom_site_fract_z
Sr1 Sr 0.000 0.000 0.000
Ca1 Ca 0.000 0.500 0.250
Pt1 Pt 0.000 0.000 0.500
# Calculated density ... 5.39 Mg/m³
# DOS(E_F) ... 0.490 states/eV/atom

=====

(ii)
# SrCa2Pt (meta-GGA SCAN, PBEsol geometry)
data_SrCa2Pt
_chemical_formula_sum 'Sr2 Ca4 Pt2'
_cell_length_a 3.665
_cell_length_b 5.611
_cell_length_c 12.382
_cell_angle_alpha 90.00
_cell_angle_beta 90.00
_cell_angle_gamma 90.00
_space_group_name_H-M_alt 'I m m m'
_space_group_IT_number 71
_space_group_name_Hall '-I 2 2'
loop_
_atom_site_label
_atom_site_type_symbol
_atom_site_fract_x
_atom_site_fract_y
_atom_site_fract_z
Sr1 Sr 0.000 0.000 0.000
Ca1 Ca 0.000 0.500 0.177
Pt1 Pt 0.000 0.000 0.500
# Calculated density ... 4.73 Mg/m³
# DOS(E_F) ... 0.892 states/eV/atom

=====

The structure with the most favorable energy is (ii); the runner-up is 320 meV per atom above it.

=====

(i)
# Sr2CaPt (meta-GGA SCAN, PBEsol geometry)
data_Sr2CaPt
_chemical_formula_sum 'Sr4 Ca2 Pt2'
_cell_length_a 3.665
_cell_length_b 4.755
_cell_length_c 16.177
_cell_angle_alpha 90.00
_cell_angle_beta 90.00
_cell_angle_gamma 90.00
_space_group_name_H-M_alt 'I m m m'
_space_group_IT_number 71
_space_group_name_Hall '-I 2 2'
loop_
_atom_site_label
_atom_site_type_symbol
_atom_site_fract_x
_atom_site_fract_y
_atom_site_fract_z
Sr1 Sr 0.000 0.000 0.157
Ca1 Ca 0.000 0.500 0.000
Pt1 Pt 0.000 0.500 0.500
# Calculated density ... 4.83 Mg/m³
# DOS(E_F) ... 0.661 states/eV/atom

=====

(ii)
# Sr2CaPt (meta-GGA SCAN, PBEsol geometry)
data_Sr2CaPt
_chemical_formula_sum 'Sr6 Ca3 Pt3'
_cell_length_a 4.1910
_cell_length_b 4.1910
_cell_length_c 30.5742
_cell_angle_alpha 90.00
_cell_angle_beta 90.00
_cell_angle_gamma 120.00
_space_group_name_H-M_alt 'R -3 m'
_space_group_IT_number 166
_space_group_name_Hall '-R 3 2"'
loop_
_atom_site_label
_atom_site_type_symbol
_atom_site_fract_x
_atom_site_fract_y
_atom_site_fract_z
Sr1 Sr 0.0000 0.0000 0.2215
Ca1 Ca 0.0000 0.0000 0.0000
Pt1 Pt 0.0000 0.0000 0.5000
# Calculated density ... 4.40 Mg/m³
# DOS(E_F) ... 0.532 states/eV/atom

=====

The structure with the most favorable energy is (i); the runner-up is 13 meV per atom above it.

=====

(i)
# CaTa2Pt (meta-GGA SCAN, PBEsol geometry)
data_CaTa2Pt
_chemical_formula_sum 'Ca1 Ta2 Pt1'
_cell_length_a 2.913
_cell_length_b 2.951
_cell_length_c 8.896
_cell_angle_alpha 90.00
_cell_angle_beta 90.00
_cell_angle_gamma 90.00
_space_group_name_H-M_alt 'P m m 2'
_space_group_IT_number 25
_space_group_name_Hall 'P 2 -2'
loop_
_atom_site_label
_atom_site_type_symbol
_atom_site_fract_x
_atom_site_fract_y
_atom_site_fract_z
Ca1 Ca 0.000 0.000 0.000
Ta1 Ta 0.000 0.000 0.549
Ta2 Ta 0.500 0.500 0.312
Pt1 Pt 0.500 0.500 0.752
# Calculated density ... 12.96 Mg/m³
# DOS(E_F) ... 1.106 states/eV/atom

=====

(ii)
# CaTa2Pt (meta-GGA SCAN, PBEsol geometry)
data_CaTa2Pt
_chemical_formula_sum 'Ca2 Ta4 Pt2'
_cell_length_a 2.878
_cell_length_b 4.864
_cell_length_c 11.092
_cell_angle_alpha 90.00
_cell_angle_beta 90.00
_cell_angle_gamma 90.00
_space_group_name_H-M_alt 'I m m m'
_space_group_IT_number 71
_space_group_name_Hall '-I 2 2'
loop_
_atom_site_label
_atom_site_type_symbol
_atom_site_fract_x
_atom_site_fract_y
_atom_site_fract_z
Ca1 Ca 0.000 0.000 0.000
Ta1 Ta 0.000 0.500 0.214
Pt1 Pt 0.000 0.000 0.500
# Calculated density ... 12.77 Mg/m³
# DOS(E_F) ... 0.869 states/eV/atom

=====

The structure with the most favorable energy is (ii); the runner-up is 32 meV per atom above it.

=====

(i)
# Ca2TaPt (meta-GGA SCAN, PBEsol geometry)
data_Ca2TaPt
_chemical_formula_sum 'Ca2 Ta1 Pt1'
_cell_length_a 3.370
_cell_length_b 3.370
_cell_length_c 8.952
_cell_angle_alpha 90.00
_cell_angle_beta 90.00
_cell_angle_gamma 90.00
_space_group_name_H-M_alt 'P 4 m m'
_space_group_IT_number 99
_space_group_name_Hall 'P 4 -2'
loop_
_atom_site_label
_atom_site_type_symbol
_atom_site_fract_x
_atom_site_fract_y
_atom_site_fract_z
Ca1 Ca 0.000 0.000 0.000
Ca2 Ca 0.500 0.500 0.372
Ta1 Ta 0.500 0.500 0.738
Pt1 Pt 0.000 0.000 0.613
# Calculated density ... 7.45 Mg/m³
# DOS(E_F) ... 0.901 states/eV/atom

=====

(ii)
# Ca2TaPt (meta-GGA SCAN, PBEsol geometry)
data_Ca2TaPt
_chemical_formula_sum 'Ca4 Ta2 Pt2'
_cell_length_a 4.034
_cell_length_b 4.034
_cell_length_c 10.015
_cell_angle_alpha 90.00
_cell_angle_beta 90.00
_cell_angle_gamma 90.00
_space_group_name_H-M_alt 'I 4/m m m'
_space_group_IT_number 139
_space_group_name_Hall '-I 4 2'
loop_
_atom_site_label
_atom_site_type_symbol
_atom_site_fract_x
_atom_site_fract_y
_atom_site_fract_z
Ca1 Ca 0.000 0.500 0.250
Ta1 Ta 0.000 0.000 0.000
Pt1 Pt 0.000 0.000 0.500
# Calculated density ... 9.30 Mg/m³
# DOS(E_F) ... 1.029 states/eV/atom

=====

The structure with the most favorable energy is (i); the runner-up is 373 meV per atom above it.

=====

(i)
# Ca2YPt (meta-GGA SCAN, PBEsol geometry)
data_Ca2YPt
_chemical_formula_sum 'Ca2 Y1 Pt1'
_cell_length_a 4.319
_cell_length_b 4.319
_cell_length_c 5.280
_cell_angle_alpha 90.00
_cell_angle_beta 90.00
_cell_angle_gamma 90.00
_space_group_name_H-M_alt 'P 4/m m m'
_space_group_IT_number 123
_space_group_name_Hall '-P 4 2'
loop_
_atom_site_label
_atom_site_type_symbol
_atom_site_fract_x
_atom_site_fract_y
_atom_site_fract_z
Ca1 Ca 0.000 0.500 0.000
Y1 Y 0.000 0.000 0.500
Pt1 Pt 0.500 0.500 0.500
# Calculated density ... 6.14 Mg/m³
# DOS(E_F) ... 0.836 states/eV/atom

=====

(ii)
# Ca2YPt (meta-GGA SCAN, PBEsol geometry)
data_Ca2YPt
_chemical_formula_sum 'Ca4 Y2 Pt2'
_cell_length_a 3.477
_cell_length_b 4.674
_cell_length_c 14.701
_cell_angle_alpha 90.00
_cell_angle_beta 90.00
_cell_angle_gamma 90.00
_space_group_name_H-M_alt 'I m m m'
_space_group_IT_number 71
_space_group_name_Hall '-I 2 2'
loop_
_atom_site_label
_atom_site_type_symbol
_atom_site_fract_x
_atom_site_fract_y
_atom_site_fract_z
Ca1 Ca 0.000 0.000 0.167
Y1 Y 0.000 0.500 0.000
Pt1 Pt 0.000 0.500 0.500
# Calculated density ... 5.06 Mg/m³
# DOS(E_F) ... 0.832 states/eV/atom

=====

(iii)
# Ca2YPt (meta-GGA SCAN, PBEsol geometry)
data_Ca2YPt
_chemical_formula_sum 'Ca4 Y2 Pt2'
_cell_length_a 3.779
_cell_length_b 4.066
_cell_length_c 16.078
_cell_angle_alpha 90.00
_cell_angle_beta 90.00
_cell_angle_gamma 90.00
_space_group_name_H-M_alt 'A m m 2'
_space_group_IT_number 38
_space_group_name_Hall 'A 2 -2'
loop_
_atom_site_label
_atom_site_type_symbol
_atom_site_fract_x
_atom_site_fract_y
_atom_site_fract_z
Ca1 Ca 0.000 0.000 0.000
Ca2 Ca 0.500 0.000 0.329
Y1 Y 0.500 0.000 0.648
Pt1 Pt 0.000 0.000 0.184
# Calculated density ... 4.89 Mg/m³
# DOS(E_F) ... 0.571 states/eV/atom

=====

The structure with the most favorable energy is (iii); the runner-up is 99 meV per atom above it.

=====

(i)
# CaZn2Pt2 (meta-GGA SCAN, PBEsol geometry)
data_CaZn2Pt2
_chemical_formula_sum 'Ca2 Zn4 Pt4'
_cell_length_a 7.576
_cell_length_b 7.576
_cell_length_c 2.856
_cell_angle_alpha 90.00
_cell_angle_beta 90.00
_cell_angle_gamma 90.00
_space_group_name_H-M_alt 'P 4/m b m'
_space_group_IT_number 127
_space_group_name_Hall '-P 4 2ab'
loop_
_atom_site_label
_atom_site_type_symbol
_atom_site_fract_x
_atom_site_fract_y
_atom_site_fract_z
Ca1 Ca 0.000 0.000 0.000
Zn1 Zn 0.136 0.364 0.500
Pt1 Pt 0.159 0.659 0.000
# Calculated density ... 11.37 Mg/m³
# DOS(E_F) ... 0.238 states/eV/atom

=====

(ii)
# CaZn2Pt2 (meta-GGA SCAN, PBEsol geometry)
data_CaZn2Pt2
_chemical_formula_sum 'Ca2 Zn4 Pt4'
_cell_length_a 4.118
_cell_length_b 4.118
_cell_length_c 10.460
_cell_angle_alpha 90.00
_cell_angle_beta 90.00
_cell_angle_gamma 90.00
_space_group_name_H-M_alt 'I 4/m m m'
_space_group_IT_number 139
_space_group_name_Hall '-I 4 2'
loop_
_atom_site_label
_atom_site_type_symbol
_atom_site_fract_x
_atom_site_fract_y
_atom_site_fract_z
Ca1 Ca 0.000 0.000 0.000
Zn1 Zn 0.000 0.000 0.386
Pt1 Pt 0.000 0.500 0.250
# Calculated density ... 10.51 Mg/m³
# DOS(E_F) ... 0.334 states/eV/atom

=====

The structure with the most favorable energy is (ii); the runner-up is 24 meV per atom above it.

=====

(i)
# RbCa3Rh (meta-GGA SCAN, PBEsol geometry)
data_RbCa3Rh
_chemical_formula_sum 'Rb2 Ca6 Rh2'
_cell_length_a 9.060
_cell_length_b 4.117
_cell_length_c 10.550
_cell_angle_alpha 90.00
_cell_angle_beta 91.75
_cell_angle_gamma 90.00
_space_group_name_H-M_alt 'P 1 21/m 1'
_space_group_IT_number 11
_space_group_name_Hall '-P 2yb'
loop_
_atom_site_label
_atom_site_type_symbol
_atom_site_fract_x
_atom_site_fract_y
_atom_site_fract_z
Rb1 Rb 0.248 0.250 0.052
Ca1 Ca 0.062 0.750 0.382
Ca2 Ca 0.258 0.750 0.688
Ca3 Ca 0.429 0.750 0.383
Rh1 Rh 0.250 0.250 0.507
# Calculated density ... 2.61 Mg/m³
# DOS(E_F) ... 0.458 states/eV/atom

=====

(ii)
# RbCa3Rh (meta-GGA SCAN, PBEsol geometry)
data_RbCa3Rh
_chemical_formula_sum 'Rb1 Ca3 Rh1'
_cell_length_a 5.344
_cell_length_b 5.344
_cell_length_c 5.344
_cell_angle_alpha 90.00
_cell_angle_beta 90.00
_cell_angle_gamma 90.00
_space_group_name_H-M_alt 'P m -3 m'
_space_group_IT_number 221
_space_group_name_Hall '-P 4 2 3'
loop_
_atom_site_label
_atom_site_type_symbol
_atom_site_fract_x
_atom_site_fract_y
_atom_site_fract_z
Rb1 Rb 0.000 0.000 0.000
Ca1 Ca 0.000 0.000 0.500
Rh1 Rh 0.500 0.500 0.500
# Calculated density ... 3.36 Mg/m³
# DOS(E_F) ... 0.941 states/eV/atom

=====

The structure with the most favorable energy is (i); the runner-up is 1811 meV per atom above it.